# 1
Entry from the Alexandria database: crystalline NaAlPb at its relaxed geometry (PBE).

a = 4.4269 Å, b = 4.4269 Å, c = 7.8646 Å
α = 90.00°, β = 90.00°, γ = 90.00°
Positions (direct):
Na  0.2500  0.7500  0.0000
Na  0.7500  0.2500  0.0000
Al  0.2500  0.2500  0.3096
Al  0.7500  0.7500  0.6904
Pb  0.2500  0.2500  0.6726
Pb  0.7500  0.7500  0.3274

Summary:
**Raw total energy**: -2.77 eV/atom
**Magnetic moment**: 0.0 μB/cell
**Space-group type**: P4/nmm (129)
**Fermi-level density of states**: 3.00 states/eV per cell

# 2
Entry from the Alexandria database: crystalline GaCo2Se4 at its relaxed geometry (PBE).

a = 7.2959 Å, b = 7.2959 Å, c = 7.2959 Å
α = 60.00°, β = 60.00°, γ = 60.00°
Positions (direct):
Ga  0.1250  0.1250  0.1250
Ga  0.8750  0.8750  0.8750
Co  0.0000  0.5000  0.5000
Co  0.5000  0.0000  0.5000
Co  0.5000  0.5000  0.0000
Co  0.5000  0.5000  0.5000
Se  0.2676  0.2676  0.2676
Se  0.2676  0.2676  0.6972
Se  0.2676  0.6972  0.2676
Se  0.3028  0.7324  0.7324
Se  0.6972  0.2676  0.2676
Se  0.7324  0.3028  0.7324
Se  0.7324  0.7324  0.3028
Se  0.7324  0.7324  0.7324

Summary:
**Magnetic moment**: 0.0 μB/cell
**Formation energy (no corrections)**: -0.35 eV per atom
**Space-group type**: Fd-3m (227)
**Fermi-level density of states**: 4.44 states/eV per cell

# 3
Entry from the Alexandria database: crystalline LaCl5 at its relaxed geometry (PBE).

a = 7.4511 Å, b = 7.4511 Å, c = 5.6608 Å
α = 90.00°, β = 90.00°, γ = 145.82°
Positions (direct):
La  0.0000  0.0000  0.0000
Cl  0.1150  0.8850  0.5000
Cl  0.3738  0.6262  0.0000
Cl  0.5000  0.5000  0.5000
Cl  0.6262  0.3738  0.0000
Cl  0.8850  0.1150  0.5000

Summary:
**Magnetic moment**: 1.1 μB/cell
**ΔE to the lowest computed polymorph**: 7.14 kcal/mol of atoms
**Formation energy (no corrections)**: -1.24 eV per atom
**Space-group type**: Cmmm (65)
**Fermi-level density of states**: 4.20 states/eV per cell

# 4
Entry from the Alexandria database: crystalline ZnTcBr at its relaxed geometry (PBE).

a = 7.3408 Å, b = 6.9640 Å, c = 3.1528 Å
α = 84.05°, β = 70.66°, γ = 25.29°
Positions (direct):
Zn  0.0000  0.0000  0.0000
Tc  0.3476  0.3476  0.6524
Br  0.7003  0.7003  0.2997

Summary:
**Magnetic moment**: 0.1 μB/cell
**ΔE to the lowest computed polymorph**: 3.81 kcal/mol of atoms
**Formation energy (no corrections)**: 0.57 eV per atom
**Space-group type**: Fmm2 (42)
**Fermi-level density of states**: 2.36 states/eV per cell

# 5
Entry from the Alexandria database: crystalline TeBrF at its relaxed geometry (PBE).

a = 6.2370 Å, b = 6.2370 Å, c = 4.4182 Å
α = 104.39°, β = 104.39°, γ = 99.21°
Positions (direct):
Te  0.1168  0.8832  0.5000
Te  0.8832  0.1168  0.0000
Br  0.4633  0.7822  0.9462
Br  0.7822  0.4633  0.4462
F  0.1623  0.3520  0.1076
F  0.3520  0.1623  0.6076

Summary:
**Magnetic moment**: 0.0 μB/cell
**ΔE to the lowest computed polymorph**: 1.31 kcal/mol of atoms
**Formation energy (no corrections)**: -0.89 eV per atom
**Space-group type**: Cc (9)

# 6
Entry from the Alexandria database: crystalline Ba2PuPt at its relaxed geometry (PBE).

a = 11.8506 Å, b = 11.8506 Å, c = 11.8506 Å
α = 20.50°, β = 20.50°, γ = 20.50°
Positions (direct):
Ba  0.1122  0.1122  0.1122
Ba  0.8878  0.8878  0.8878
Pu  0.0000  0.0000  0.0000
Pt  0.5000  0.5000  0.5000

Summary:
**Raw total energy**: -5.98 eV/atom
**Magnetic moment**: 7.0 μB/cell
**Space-group type**: R-3m (166)
**Fermi-level density of states**: 17.08 states/eV per cell

# 7
Entry from the Alexandria database: crystalline Ac5In2Te12 at its relaxed geometry (PBE).

a = 9.9191 Å, b = 9.9191 Å, c = 10.2617 Å
α = 101.94°, β = 101.94°, γ = 51.26°
Positions (direct):
Ac  0.0000  0.0000  0.0000
Ac  0.2906  0.2906  0.1566
Ac  0.3265  0.3265  0.6926
Ac  0.6735  0.6735  0.3074
Ac  0.7094  0.7094  0.8434
In  0.2474  0.7526  0.5000
In  0.7526  0.2474  0.5000
Te  0.0359  0.0359  0.7002
Te  0.0635  0.5753  0.4339
Te  0.1054  0.6025  0.9441
Te  0.3975  0.8946  0.0559
Te  0.4247  0.9365  0.5661
Te  0.4851  0.4851  0.2951
Te  0.5149  0.5149  0.7049
Te  0.5753  0.0635  0.4339
Te  0.6025  0.1054  0.9441
Te  0.8946  0.3975  0.0559
Te  0.9365  0.4247  0.5661
Te  0.9641  0.9641  0.2998

Summary:
**Magnetic moment**: 0.0 μB/cell
**Formation energy (no corrections)**: -1.01 eV per atom
**Space-group type**: C2/m (12)
**Fermi-level density of states**: 5.71 states/eV per cell

# 8
Entry from the Alexandria database: crystalline LiDy2Se at its relaxed geometry (PBE).

a = 9.0069 Å, b = 9.0069 Å, c = 9.0069 Å
α = 24.46°, β = 24.46°, γ = 24.46°
Positions (direct):
Li  0.0000  0.0000  0.0000
Dy  0.2343  0.2343  0.2343
Dy  0.4319  0.4319  0.4319
Se  0.8327  0.8327  0.8327

Summary:
**Magnetic moment**: 0.3 μB/cell
**ΔE to the lowest computed polymorph**: 0.00 kcal/mol of atoms
**Formation energy (no corrections)**: -0.68 eV per atom
**Space-group type**: R3m (160)
**Fermi-level density of states**: 3.91 states/eV per cell

# 9
Entry from the Alexandria database: crystalline Li3InI4 at its relaxed geometry (PBE).

a = 9.7994 Å, b = 8.2947 Å, c = 7.6335 Å
α = 90.00°, β = 90.00°, γ = 90.00°
Positions (direct):
Li  0.0000  0.1830  0.0000
Li  0.2458  0.6632  0.0067
Li  0.2542  0.3368  0.5067
Li  0.5000  0.8170  0.5000
Li  0.7458  0.3368  0.5067
Li  0.7542  0.6632  0.0067
In  0.0000  0.8372  0.5205
In  0.5000  0.1628  0.0205
I  0.0000  0.2308  0.6406
I  0.0000  0.8458  0.0534
I  0.2153  0.3551  0.1460
I  0.2847  0.6449  0.6460
I  0.5000  0.1542  0.5534
I  0.5000  0.7692  0.1406
I  0.7153  0.6449  0.6460
I  0.7847  0.3551  0.1460

Summary:
**Magnetic moment**: 0.0 μB/cell
**Formation energy (no corrections)**: -0.99 eV per atom
**Space-group type**: Pmn2_1 (31)
**Fermi-level density of states**: 0.00 states/eV per cell

# 10
Entry from the Alexandria database: crystalline MnTc2B at its relaxed geometry (PBE).

a = 5.3631 Å, b = 5.3631 Å, c = 5.3631 Å
α = 98.66°, β = 98.66°, γ = 134.32°
Positions (direct):
Mn  0.0000  0.0000  0.0000
Mn  0.7500  0.2500  0.5000
Tc  0.2251  0.6250  0.1001
Tc  0.3750  0.4751  0.6001
Tc  0.5249  0.1250  0.8999
Tc  0.8750  0.7749  0.3999
B  0.2500  0.7500  0.5000
B  0.5000  0.5000  0.0000

Summary:
**Raw total energy**: -8.87 eV/atom
**Magnetic moment**: 0.0 μB/cell
**Space-group type**: I-42d (122)
**Fermi-level density of states**: 8.82 states/eV per cell

# 11
Entry from the Alexandria database: crystalline ReHg5 at its relaxed geometry (PBE).

a = 5.8911 Å, b = 5.8911 Å, c = 5.8911 Å
α = 60.00°, β = 60.00°, γ = 60.00°
Positions (direct):
Re  0.0000  0.0000  0.0000
Hg  0.3746  0.3746  0.3746
Hg  0.3746  0.3746  0.8762
Hg  0.3746  0.8762  0.3746
Hg  0.7500  0.7500  0.7500
Hg  0.8762  0.3746  0.3746

Summary:
**Magnetic moment**: 3.9 μB/cell
**ΔE to the lowest computed polymorph**: 12.55 kcal/mol of atoms
**Space-group type**: F-43m (216)
**Fermi-level density of states**: 3.36 states/eV per cell